Arrangement 1

Density functional theory data (PBE) for a relaxed structure of TbPmY5.

a b c (Å): 8.825 9.700 11.585
angles (deg): 90.00 110.69 90.00
Space group C2/c (No. 15)
Asymmetric unit:
Tb (0.000, 0.243, 0.250) x4
Pm (0.250, 0.250, 0.000) x4
Y (0.000, 0.412, 0.750) x4
Y (0.123, 0.070, 0.665) x8
Y (0.171, 0.398, 0.536) x8

Computed properties:
Its volume is 33.1 A^3/atom. The total magnetization comes out at 0.00 μB per atom. As for the density of states at the Fermi level: 51.0 states/eV per cell.

Arrangement 2

Density functional theory data (PBE) for a relaxed structure of TbPmY5.

a b c (Å): 5.791 8.595 11.926
angles (deg): 90.00 90.00 90.00
Space group Immm (No. 71)
Asymmetric unit:
Tb (0.000, 0.000, 0.000) x2
Pm (0.000, 0.000, 0.500) x2
Y (0.000, 0.000, 0.254) x4
Y (0.000, 0.322, 0.500) x4
Y (0.000, 0.500, 0.000) x2

Computed properties:
Its volume is 42.4 A^3/atom. The total magnetization comes out at 0.00 μB per atom. As for the density of states at the Fermi level: 19.0 states/eV per cell.

Which structure wins on stability? arrangement 1 wins.

Arrangement 1

Density functional theory data (PBE) for a relaxed structure of Tb3Pm2Y2.

a b c (Å): 11.877 3.590 10.785
angles (deg): 90.00 95.75 90.00
Space group C2/m (No. 12)
Asymmetric unit:
Tb (0.000, 0.000, 0.000) x2
Tb (0.143, 0.000, 0.571) x4
Pm (0.214, 0.500, 0.857) x4
Y (0.071, 0.500, 0.288) x4

Computed properties:
Its volume is 32.7 A^3/atom. The total magnetization comes out at 0.00 μB per atom. As for the density of states at the Fermi level: 18.3 states/eV per cell.

Arrangement 2

Density functional theory data (PBE) for a relaxed structure of Tb3Pm2Y2.

a b c (Å): 17.612 3.529 8.581
angles (deg): 90.00 119.09 90.00
Space group C2/m (No. 12)
Asymmetric unit:
Tb (0.000, 0.000, 0.000) x2
Tb (0.212, 0.000, 0.300) x4
Pm (0.067, 0.500, 0.411) x4
Y (0.149, 0.000, 0.832) x4

Computed properties:
Its volume is 33.3 A^3/atom. The total magnetization comes out at 0.00 μB per atom. As for the density of states at the Fermi level: 22.1 states/eV per cell.

Which structure wins on stability? arrangement 1 wins.